# 1
## Tc2B2Rh (meta-GGA SCAN)

Data for Tc2B2Rh at its PBEsol-relaxed geometry.

Unit cell a=5.477 b=5.477 c=3.478 alpha=90.00 beta=90.00 gamma=90.00
Sites, in units of the cell vectors:
Tc 0.173 0.327 0.000
Tc 0.327 0.827 0.000
Tc 0.673 0.173 0.000
Tc 0.827 0.673 0.000
B 0.115 0.615 0.500
B 0.385 0.115 0.500
B 0.615 0.885 0.500
B 0.885 0.385 0.500
Rh 0.000 0.000 0.500
Rh 0.500 0.500 0.500

* E_tot: -24.0384 eV per atom
* space-group type: No. 127
* calculated formation energy: -0.288 eV/atom
* spin magnetization: 0.00 μB/f.u.


# 2
## Li2ScW (meta-GGA SCAN)

Data for Li2ScW at its PBEsol-relaxed geometry.

Unit cell a=5.980 b=5.980 c=5.980 alpha=153.45 beta=132.66 gamma=55.10
Sites, in units of the cell vectors:
Li 0.235 0.235 0.000
Li 0.765 0.765 0.000
Sc 0.500 0.000 0.500
W 0.000 0.500 0.500

* excess energy over the best structure of this formula in the dataset: 0.091 eV per atom
* E_tot: -21.6970 eV per atom
* space-group type: No. 71
* calculated formation energy: 0.479 eV/atom
* spin magnetization: 0.00 μB/f.u.


# 3
## Y3GeH (meta-GGA SCAN)

Data for Y3GeH at its PBEsol-relaxed geometry.

Unit cell a=4.630 b=4.630 c=4.630 alpha=90.00 beta=90.00 gamma=90.00
Sites, in units of the cell vectors:
Y 0.000 0.000 0.500
Y 0.000 0.500 0.000
Y 0.500 0.000 0.000
Ge 0.500 0.500 0.500
H 0.000 0.000 0.000

* E_tot: -21.6541 eV per atom
* space-group type: No. 221
* spin magnetization: 1.95 μB/f.u.


> spin magnetization of number 2 (Li2ScW)?

0.00 μB/f.u.